VASP calculation (PBE-GGA) on a relaxed structure of TiVMo.

POSCAR file:
```
TiVMo
1.0
6.956 0.000 0.000
0.000 6.956 0.000
0.000 0.000 4.212
Ti V Mo
4 4 4
Direct
0.052 0.726 0.000
0.274 0.052 0.500
0.726 0.948 0.500
0.948 0.274 0.000
0.335 0.408 0.000
0.408 0.665 0.500
0.592 0.335 0.500
0.665 0.592 0.000
0.146 0.391 0.500
0.391 0.854 0.000
0.609 0.146 0.000
0.854 0.609 0.500
```

The calculation puts the energy of formation at 319 meV per atom. The value obtained for the density of states at the Fermi level is 1.05 states/eV/atom. As for the polymorph energy (0 for the lowest one): 396.0 meV per atom. As for the space-group type: P4_2/m, No. 84.